No. 1
Below is a geometry-optimized CeSmBiN structure, with properties calculated at the PBE-GGA level.

Calculated values
Symmetry = P4/nmm, No. 129
Volume = 201 Å³ per cell
E_tot = -55.15 eV/cell
Formation energy without anion corrections = -1179 meV per atom
Total moment = 1.4 Bohr magnetons per cell

```
data_CeSmBiN
_cell_length_a 4.657
_cell_length_b 4.657
_cell_length_c 9.260
_cell_angle_alpha 90.00
_cell_angle_beta 90.00
_cell_angle_gamma 90.00
_symmetry_space_group_name_H-M 'P 1'
_symmetry_Int_Tables_number 1
_symmetry_space_group_name_Hall 'P 1'
loop_
_atom_site_label
_atom_site_type_symbol
_atom_site_fract_x
_atom_site_fract_y
_atom_site_fract_z
_atom_site_occupancy
Ce1 Ce 0.250 0.750 0.000 1
Ce2 Ce 0.750 0.250 0.000 1
Sm1 Sm 0.250 0.250 0.329 1
Sm2 Sm 0.750 0.750 0.671 1
Bi1 Bi 0.250 0.250 0.694 1
Bi2 Bi 0.750 0.750 0.306 1
N1 N 0.250 0.250 0.082 1
N2 N 0.750 0.750 0.918 1
```

---

No. 2
Below is a geometry-optimized Ce4SnBiN structure, with properties calculated at the PBE-GGA level.

Calculated values
Symmetry = Cmcm, No. 63
Volume = 385 Å³ per cell
E_tot = -91.72 eV/cell
Formation energy without anion corrections = -845 meV per atom
Total moment = 7.6 Bohr magnetons per cell

```
data_Ce4SnBiN
_cell_length_a 8.950
_cell_length_b 8.950
_cell_length_c 6.821
_cell_angle_alpha 90.00
_cell_angle_beta 90.00
_cell_angle_gamma 135.21
_symmetry_space_group_name_H-M 'P 1'
_symmetry_Int_Tables_number 1
_symmetry_space_group_name_Hall 'P 1'
loop_
_atom_site_label
_atom_site_type_symbol
_atom_site_fract_x
_atom_site_fract_y
_atom_site_fract_z
_atom_site_occupancy
Ce1 Ce 0.000 0.500 0.000 1
Ce2 Ce 0.000 0.500 0.500 1
Ce3 Ce 0.090 0.910 0.750 1
Ce4 Ce 0.405 0.595 0.750 1
Ce5 Ce 0.500 0.000 0.000 1
Ce6 Ce 0.500 0.000 0.500 1
Ce7 Ce 0.595 0.405 0.250 1
Ce8 Ce 0.910 0.090 0.250 1
Sn1 Sn 0.109 0.891 0.250 1
Sn2 Sn 0.891 0.109 0.750 1
Bi1 Bi 0.395 0.605 0.250 1
Bi2 Bi 0.605 0.395 0.750 1
N1 N 0.247 0.753 0.750 1
N2 N 0.753 0.247 0.250 1
```